# 1
# Li2SmY2Pb2

A relaxed Li2SmY2Pb2 crystal (PBE, Alexandria).

Output
SG = R-3m (166)
N(E_F) = 4.60 states/eV/f.u.
Formation energy from the elements = -343 meV/atom

Unit cell a=9.461 b=9.461 c=9.461 alpha=29.74 beta=29.74 gamma=29.74
Positions (direct):
Li 0.093 0.093 0.093
Li 0.907 0.907 0.907
Sm 0.500 0.500 0.500
Y 0.371 0.371 0.371
Y 0.629 0.629 0.629
Pb 0.237 0.237 0.237
Pb 0.763 0.763 0.763

# 2
# Li2Sm2YPb2

A relaxed Li2Sm2YPb2 crystal (PBE, Alexandria).

Output
SG = R-3m (166)
N(E_F) = 4.64 states/eV/f.u.
Formation energy from the elements = -334 meV/atom

Unit cell a=9.577 b=9.577 c=9.577 alpha=29.28 beta=29.28 gamma=29.28
Positions (direct):
Li 0.101 0.101 0.101
Li 0.899 0.899 0.899
Sm 0.372 0.372 0.372
Sm 0.628 0.628 0.628
Y 0.500 0.500 0.500
Pb 0.234 0.234 0.234
Pb 0.766 0.766 0.766

# 3
# Li3SnPb2

A relaxed Li3SnPb2 crystal (PBE, Alexandria).

Output
SG = Cmcm (63)
N(E_F) = 1.03 states/eV/f.u.
Formation energy from the elements = -190 meV/atom

Unit cell a=6.888 b=6.888 c=6.249 alpha=90.00 beta=90.00 gamma=93.04
Positions (direct):
Li 0.207 0.793 0.750
Li 0.238 0.238 0.000
Li 0.238 0.238 0.500
Li 0.762 0.762 0.000
Li 0.762 0.762 0.500
Li 0.793 0.207 0.250
Sn 0.499 0.501 0.750
Sn 0.501 0.499 0.250
Pb 0.065 0.584 0.250
Pb 0.416 0.935 0.250
Pb 0.584 0.065 0.750
Pb 0.935 0.416 0.750

# 4
# Li2Sn3Pb

A relaxed Li2Sn3Pb crystal (PBE, Alexandria).

Output
SG = P4/mmm (123)
N(E_F) = 2.92 states/eV/f.u.
Formation energy from the elements = -170 meV/atom

Unit cell a=3.201 b=3.201 c=14.093 alpha=90.00 beta=90.00 gamma=90.00
Positions (direct):
Li 0.000 0.000 0.148
Li 0.000 0.000 0.852
Sn 0.500 0.500 0.000
Sn 0.500 0.500 0.299
Sn 0.500 0.500 0.701
Pb 0.000 0.000 0.500

# 5
# LiSn4Pb

A relaxed LiSn4Pb crystal (PBE, Alexandria).

Output
SG = P4/mmm (123)
N(E_F) = 2.20 states/eV/f.u.
Formation energy from the elements = -59 meV/atom

Unit cell a=3.425 b=3.425 c=13.413 alpha=90.00 beta=90.00 gamma=90.00
Positions (direct):
Li 0.000 0.000 0.000
Sn 0.000 0.000 0.311
Sn 0.000 0.000 0.689
Sn 0.500 0.500 0.142
Sn 0.500 0.500 0.858
Pb 0.500 0.500 0.500

# 6
# Li3SnPb3

A relaxed Li3SnPb3 crystal (PBE, Alexandria).

Output
SG = Pm-3n (223)
N(E_F) = 2.12 states/eV/f.u.
Formation energy from the elements = 399 meV/atom

Unit cell a=7.448 b=7.448 c=7.448 alpha=90.00 beta=90.00 gamma=90.00
Positions (direct):
Li 0.000 0.250 0.500
Li 0.000 0.750 0.500
Li 0.250 0.500 0.000
Li 0.500 0.000 0.250
Li 0.500 0.000 0.750
Li 0.750 0.500 0.000
Sn 0.000 0.000 0.000
Sn 0.500 0.500 0.500
Pb 0.000 0.500 0.250
Pb 0.000 0.500 0.750
Pb 0.250 0.000 0.500
Pb 0.500 0.250 0.000
Pb 0.500 0.750 0.000
Pb 0.750 0.000 0.500

# 7
# Li6SnPb

A relaxed Li6SnPb crystal (PBE, Alexandria).

Output
SG = P-6m2 (187)
N(E_F) = 3.63 states/eV/f.u.
Formation energy from the elements = -295 meV/atom

Unit cell a=6.053 b=6.053 c=4.766 alpha=90.00 beta=90.00 gamma=120.00
Positions (direct):
Li 0.009 0.504 0.000
Li 0.318 0.159 0.500
Li 0.496 0.504 0.000
Li 0.496 0.991 0.000
Li 0.841 0.159 0.500
Li 0.841 0.682 0.500
Sn 0.000 0.000 0.000
Pb 0.333 0.667 0.500

# 8
# Li6SnPb3

A relaxed Li6SnPb3 crystal (PBE, Alexandria).

Output
SG = P2_1/m (11)
N(E_F) = 2.89 states/eV/f.u.
Formation energy from the elements = -284 meV/atom

Unit cell a=8.369 b=4.957 c=10.772 alpha=90.00 beta=109.93 gamma=90.00
Positions (direct):
Li 0.048 0.250 0.426
Li 0.174 0.750 0.184
Li 0.247 0.250 0.012
Li 0.351 0.250 0.334
Li 0.353 0.750 0.783
Li 0.429 0.250 0.631
Li 0.571 0.750 0.369
Li 0.647 0.250 0.217
Li 0.649 0.750 0.666
Li 0.753 0.750 0.988
Li 0.826 0.250 0.816
Li 0.952 0.750 0.574
Sn 0.451 0.750 0.081
Sn 0.549 0.250 0.919
Pb 0.042 0.750 0.880
Pb 0.121 0.250 0.709
Pb 0.288 0.750 0.481
Pb 0.712 0.250 0.519
Pb 0.879 0.750 0.291
Pb 0.958 0.250 0.120

# 9
# Li2Sn9Pb

A relaxed Li2Sn9Pb crystal (PBE, Alexandria).

Output
SG = P4/mmm (123)
N(E_F) = 6.19 states/eV/f.u.
Formation energy from the elements = -67 meV/atom

Unit cell a=4.594 b=4.594 c=14.929 alpha=90.00 beta=90.00 gamma=90.00
Positions (direct):
Li 0.000 0.000 0.158
Li 0.000 0.000 0.842
Sn 0.000 0.500 0.000
Sn 0.000 0.500 0.318
Sn 0.000 0.500 0.682
Sn 0.500 0.000 0.000
Sn 0.500 0.000 0.318
Sn 0.500 0.000 0.682
Sn 0.500 0.500 0.158
Sn 0.500 0.500 0.500
Sn 0.500 0.500 0.842
Pb 0.000 0.000 0.500

# 10
# Li4Sn7Pb

A relaxed Li4Sn7Pb crystal (PBE, Alexandria).

Output
SG = P-1 (2)
N(E_F) = 3.92 states/eV/f.u.
Formation energy from the elements = -149 meV/atom

Unit cell a=6.464 b=6.747 c=7.582 alpha=73.71 beta=78.70 gamma=68.04
Positions (direct):
Li 0.115 0.188 0.311
Li 0.305 0.655 0.302
Li 0.695 0.345 0.698
Li 0.885 0.812 0.689
Sn 0.000 0.000 0.000
Sn 0.194 0.329 0.644
Sn 0.259 0.522 0.967
Sn 0.360 0.830 0.601
Sn 0.640 0.170 0.399
Sn 0.741 0.478 0.033
Sn 0.806 0.671 0.356
Pb 0.500 0.000 0.000

# 11
# Li3Sn2Pb4

A relaxed Li3Sn2Pb4 crystal (PBE, Alexandria).

Output
SG = C2/c (15)
N(E_F) = 2.99 states/eV/f.u.
Formation energy from the elements = -91 meV/atom

Unit cell a=11.928 b=11.928 c=4.836 alpha=96.26 beta=96.26 gamma=133.44
Positions (direct):
Li 0.043 0.957 0.750
Li 0.352 0.485 0.459
Li 0.485 0.352 0.959
Li 0.515 0.648 0.041
Li 0.648 0.515 0.541
Li 0.957 0.043 0.250
Sn 0.008 0.324 0.330
Sn 0.324 0.008 0.830
Sn 0.676 0.992 0.170
Sn 0.992 0.676 0.670
Pb 0.169 0.283 0.864
Pb 0.176 0.572 0.933
Pb 0.283 0.169 0.364
Pb 0.428 0.824 0.567
Pb 0.572 0.176 0.433
Pb 0.717 0.831 0.636
Pb 0.824 0.428 0.067
Pb 0.831 0.717 0.136

# 12
# Li3SnPb

A relaxed Li3SnPb crystal (PBE, Alexandria).

Output
SG = P2_1/m (11)
N(E_F) = 1.27 states/eV/f.u.
Formation energy from the elements = -280 meV/atom

Unit cell a=4.810 b=5.345 c=8.660 alpha=90.00 beta=106.06 gamma=90.00
Positions (direct):
Li 0.000 0.000 0.000
Li 0.000 0.500 0.000
Li 0.153 0.250 0.305
Li 0.364 0.250 0.725
Li 0.636 0.750 0.275
Li 0.847 0.750 0.695
Sn 0.445 0.750 0.891
Sn 0.555 0.250 0.109
Pb 0.244 0.750 0.490
Pb 0.756 0.250 0.510